VASP calculation (PBE) on K2NiH6Pd after structural relaxation.

Lattice parameters (Å, degrees): 5.6903 5.6903 5.0155 90.00 90.00 120.00
Space group P-3m1 (No. 164)
Symmetry-distinct sites (fractional):
K 0.3333 0.6667 0.2379 (multiplicity 2)
Ni 0.0000 0.0000 0.0000 (multiplicity 1)
H 0.1230 0.2460 0.7860 (multiplicity 6)
Pd 0.0000 0.0000 0.5000 (multiplicity 1)

## Properties
The total magnetic moment is 0.00 Bohr magnetons per cell. As for the electronic total energy: -3.552 eV per atom.